ErGeHO4 | PBE | optimized geometry

Geometry as POSCAR:
```
ErGeHO4
1.0
5.116 0.000 0.085
0.000 6.511 0.000
-0.675 0.000 4.467
Er Ge H O
2 2 2 8
Cartesian
1.001 1.628 0.274 Er
3.440 4.883 4.278 Er
1.332 4.883 1.962 Ge
3.108 1.628 2.591 Ge
-0.338 0.000 2.234 H
-0.338 3.255 2.234 H
3.235 1.628 0.841 O
0.324 3.564 1.257 O
0.324 6.202 1.257 O
3.039 4.883 1.723 O
1.401 1.628 2.829 O
4.117 0.309 3.296 O
4.117 2.946 3.296 O
1.205 4.883 3.711 O
```

Output
Energy above the most stable polymorph in this dataset ... 0.0859 eV per atom
VASP energy ... -6.786 eV/atom
Symmetry ... P2_1/m

---

ErGeHO4 | PBE | optimized geometry

Geometry as POSCAR:
```
ErGeHO4
1.0
5.164 0.000 0.000
0.000 11.488 0.000
0.000 0.000 4.752
Er Ge H O
4 4 4 16
Cartesian
0.000 1.365 1.188 Er
2.582 7.109 1.188 Er
2.582 4.379 3.564 Er
0.000 10.122 3.564 Er
0.000 4.517 1.188 Ge
2.582 10.261 1.188 Ge
2.582 1.227 3.564 Ge
0.000 6.971 3.564 Ge
2.582 2.327 1.188 H
0.000 8.070 1.188 H
0.000 3.417 3.564 H
2.582 9.161 3.564 H
1.952 2.340 0.121 O
0.630 8.084 0.121 O
1.361 5.279 0.413 O
1.221 11.023 0.413 O
3.803 5.279 1.962 O
3.943 11.023 1.962 O
3.212 2.340 2.255 O
4.535 8.084 2.255 O
0.630 3.404 2.497 O
1.952 9.148 2.497 O
1.221 0.465 2.789 O
1.361 6.209 2.789 O
3.943 0.465 4.338 O
3.803 6.209 4.338 O
4.535 3.404 4.630 O
3.212 9.148 4.630 O
```

Output
Energy above the most stable polymorph in this dataset ... 0.0357 eV per atom
VASP energy ... -6.837 eV/atom
Symmetry ... Pbcn

---

ErHfGe | PBE | optimized geometry

Geometry as POSCAR:
```
ErHfGe
1.0
0.000 3.287 3.287
3.287 0.000 3.287
3.287 3.287 0.000
Er Ge Hf
1 1 1
Cartesian
1.643 1.643 1.643 Er
0.000 0.000 0.000 Ge
4.930 4.930 4.930 Hf
```

Output
VASP energy ... -6.647 eV/atom
Symmetry ... F-43m

---

ErHgGe | PBE | optimized geometry

Geometry as POSCAR:
```
ErHgGe
1.0
-0.075 -3.686 -2.961
-3.346 -3.313 0.433
-3.415 -0.351 -3.252
Er Ge Hg
1 1 1
Cartesian
-1.709 -1.838 -1.445 Er
0.000 0.000 0.000 Ge
-5.127 -5.513 -4.335 Hg
```

Output
VASP energy ... -3.453 eV/atom
Symmetry ... F-43m

---

ErHgGe | PBE | optimized geometry

Geometry as POSCAR:
```
ErHgGe
1.0
0.000 3.418 3.418
3.418 0.000 3.418
3.418 3.418 0.000
Er Ge Hg
1 1 1
Cartesian
0.000 0.000 0.000 Er
1.709 1.709 1.709 Ge
5.127 5.127 5.127 Hg
```

Output
VASP energy ... -3.357 eV/atom
Symmetry ... F-43m

---

HoErGeI2 | PBE | optimized geometry

Geometry as POSCAR:
```
HoErGeI2
1.0
-3.689 1.483 -1.372
1.834 -3.230 -1.974
-5.177 -6.894 6.470
Er Ge Ho I
1 1 1 2
Cartesian
-1.847 -2.459 2.308 Er
-2.592 -5.101 1.457 Ge
-5.178 -4.522 2.588 Ho
-2.737 -1.271 -0.462 I
-4.294 -5.717 5.366 I
```

Output
VASP energy ... -4.569 eV/atom
Symmetry ... P3m1

---

Ho2Er2GeI5 | PBE | optimized geometry

Geometry as POSCAR:
```
Ho2Er2GeI5
1.0
1.593 2.087 -9.386
-2.184 0.286 -9.494
-3.606 7.385 2.984
Er Ge Ho I
2 1 2 5
Cartesian
-0.648 2.077 -11.966 Er
-3.550 7.681 -3.930 Er
-0.296 1.186 -9.440 Ge
-0.762 1.560 0.627 Ho
-3.436 8.197 -16.523 Ho
-1.096 3.207 -15.132 I
-1.307 2.870 -2.148 I
-2.099 4.879 -7.948 I
-2.891 6.888 -13.748 I
-3.101 6.550 -0.764 I
```

Output
VASP energy ... -4.205 eV/atom
Symmetry ... C2/m

---

HoErNi2Ge | PBE | optimized geometry

Geometry as POSCAR:
```
HoErNi2Ge
1.0
3.576 0.000 0.000
0.000 1.968 6.585
0.000 -1.968 6.585
Er Ge Ho Ni
1 1 1 2
Cartesian
1.788 0.000 8.293 Er
0.000 0.000 0.005 Ge
1.788 0.000 4.880 Ho
0.000 0.000 2.555 Ni
0.000 0.000 10.606 Ni
```

Output
VASP energy ... -5.596 eV/atom
Symmetry ... Amm2

---

HoEr2Ni4Ge4 | PBE | optimized geometry

Geometry as POSCAR:
```
HoEr2Ni4Ge4
1.0
-2.029 3.354 6.729
2.029 -3.354 6.729
2.029 3.354 -6.729
Er Ge Ho Ni
2 4 1 4
Cartesian
0.000 3.354 1.742 Er
2.029 0.000 4.987 Er
0.000 0.000 2.927 Ge
0.000 0.000 10.531 Ge
0.000 1.299 6.729 Ge
2.029 2.055 0.000 Ge
0.000 0.000 0.000 Ho
0.000 2.040 4.350 Ni
0.000 2.040 9.107 Ni
2.029 1.314 -2.379 Ni
2.029 1.314 2.379 Ni
```

Output
VASP energy ... -5.697 eV/atom
Symmetry ... Immm

---

HoErNiGe2 | PBE | optimized geometry

Geometry as POSCAR:
```
HoErNiGe2
1.0
-0.868 4.959 -2.414
-4.112 3.777 -0.008
6.028 0.093 8.175
Er Ge Ho Ni
2 4 2 2
Cartesian
-0.266 1.640 0.447 Er
1.315 7.190 5.306 Er
-1.667 4.213 -0.177 Ge
0.900 3.067 2.721 Ge
0.149 5.763 3.032 Ge
2.715 4.617 5.930 Ge
1.964 0.093 2.694 Ho
-0.916 8.737 3.059 Ho
-1.503 6.344 1.091 Ni
2.551 2.486 4.662 Ni
```

Output
VASP energy ... -5.613 eV/atom
Symmetry ... C2/m

---

Ho2Er2TlNi2Ge4 | PBE | optimized geometry

Geometry as POSCAR:
```
Ho2Er2TlNi2Ge4
1.0
7.757 -2.103 0.000
7.757 2.103 0.000
-2.247 0.000 6.695
Er Ge Ho Ni Tl
2 4 2 2 1
Cartesian
8.300 0.000 2.621 Er
4.966 0.000 4.073 Er
2.572 0.000 1.827 Ge
13.712 0.000 2.286 Ge
-0.446 0.000 4.409 Ge
10.694 0.000 4.867 Ge
5.204 0.000 0.418 Ho
8.062 0.000 6.276 Ho
11.336 0.000 2.410 Ni
1.929 0.000 4.285 Ni
0.000 0.000 0.000 Tl
```

Output
VASP energy ... -5.303 eV/atom
Symmetry ... C2/m

---

HoErGe2Os | PBE | optimized geometry

Geometry as POSCAR:
```
HoErGe2Os
1.0
5.354 -2.145 0.000
5.354 2.145 0.000
-4.716 0.000 8.900
Er Ge Ho Os
2 4 2 2
Cartesian
9.138 0.000 2.894 Er
-3.145 0.000 6.006 Er
4.614 0.000 1.099 Ge
1.769 0.000 3.907 Ge
4.224 0.000 4.993 Ge
1.379 0.000 7.801 Ge
1.426 0.000 1.028 Ho
4.567 0.000 7.872 Ho
6.087 0.000 3.264 Os
-0.094 0.000 5.636 Os
```

Output
Energy above the most stable polymorph in this dataset ... 0.0000 eV per atom
VASP energy ... -6.622 eV/atom
Symmetry ... C2/m

---

HoErGe2Os | PBE | optimized geometry

Geometry as POSCAR:
```
HoErGe2Os
1.0
0.309 -1.639 5.528
-1.200 -4.775 3.016
8.688 -0.097 -5.099
Er Ge Ho Os
2 4 2 2
Cartesian
0.840 -1.191 0.982 Er
6.956 -5.320 2.463 Er
0.638 -3.124 3.517 Ge
3.493 -2.341 0.824 Ge
4.303 -4.170 2.621 Ge
7.158 -3.387 -0.072 Ge
1.935 -6.422 6.856 Ho
5.862 -0.089 -3.411 Ho
2.534 -4.717 4.367 Os
5.263 -1.794 -0.922 Os
```

Output
Energy above the most stable polymorph in this dataset ... 0.0044 eV per atom
VASP energy ... -6.617 eV/atom
Symmetry ... C2/m

---

HoErSiGeOs | PBE | optimized geometry

Geometry as POSCAR:
```
HoErSiGeOs
1.0
5.317 -2.107 0.000
5.317 2.107 0.000
-4.779 0.000 8.850
Er Ge Ho Os Si
2 2 2 2 2
Cartesian
6.830 0.000 3.397 Er
-0.975 0.000 5.453 Er
3.663 0.000 3.320 Ge
2.191 0.000 5.530 Ge
-0.759 0.000 1.543 Ho
6.614 0.000 7.308 Ho
2.239 0.000 1.105 Os
3.616 0.000 7.745 Os
6.553 0.000 0.531 Si
-0.698 0.000 8.320 Si
```

Output
Energy above the most stable polymorph in this dataset ... 0.0059 eV per atom
VASP energy ... -6.888 eV/atom
Symmetry ... C2/m

---

HoErSiGeOs | PBE | optimized geometry

Geometry as POSCAR:
```
HoErSiGeOs
1.0
-4.376 1.942 -3.225
-4.588 -2.291 -2.650
-0.797 1.376 9.823
Er Ge Ho Os Si
2 2 2 2 2
Cartesian
-1.721 0.086 0.000 Er
-8.039 0.940 3.948 Er
-3.553 0.476 2.191 Ge
-6.208 0.550 1.757 Ge
-9.161 0.092 -2.699 Ho
-0.599 0.934 6.647 Ho
-6.799 0.248 -0.684 Os
-2.961 0.778 4.632 Os
-4.548 -0.004 -1.704 Si
-5.212 1.030 5.652 Si
```

Output
Energy above the most stable polymorph in this dataset ... 0.1139 eV per atom
VASP energy ... -6.780 eV/atom
Symmetry ... C2/m

---

HoErSiGeOs | PBE | optimized geometry

Geometry as POSCAR:
```
HoErSiGeOs
1.0
5.349 -2.139 0.000
5.349 2.139 0.000
-4.735 0.000 8.749
Er Ge Ho Os Si
2 2 2 2 2
Cartesian
-0.795 0.000 1.571 Er
6.759 0.000 7.178 Er
6.569 0.000 0.550 Ge
-0.605 0.000 8.199 Ge
6.888 0.000 3.420 Ho
-0.924 0.000 5.329 Ho
2.287 0.000 1.181 Os
3.677 0.000 7.568 Os
3.609 0.000 3.290 Si
2.355 0.000 5.459 Si
```

Output
Energy above the most stable polymorph in this dataset ... 0.1110 eV per atom
VASP energy ... -6.783 eV/atom
Symmetry ... C2/m

---

HoErSiGeOs | PBE | optimized geometry

Geometry as POSCAR:
```
HoErSiGeOs
1.0
5.308 -2.105 0.000
5.308 2.105 0.000
-4.770 0.000 8.862
Er Ge Ho Os Si
2 2 2 2 2
Cartesian
-0.764 0.000 1.537 Er
6.611 0.000 7.325 Er
3.658 0.000 3.318 Ge
2.189 0.000 5.544 Ge
6.812 0.000 3.402 Ho
-0.965 0.000 5.460 Ho
2.232 0.000 1.103 Os
3.615 0.000 7.759 Os
6.536 0.000 0.529 Si
-0.689 0.000 8.332 Si
```

Output
Energy above the most stable polymorph in this dataset ... 0.0000 eV per atom
VASP energy ... -6.894 eV/atom
Symmetry ... C2/m

---

HoErGe2Pd | PBE | optimized geometry

Geometry as POSCAR:
```
HoErGe2Pd
1.0
0.423 1.960 5.320
-3.650 1.975 3.886
0.274 -10.199 -0.886
Er Ge Ho Pd
2 4 2 2
Cartesian
-3.151 2.155 8.970 Er
0.197 -8.419 -0.650 Er
-2.043 1.839 5.821 Ge
-1.596 -1.853 4.512 Ge
-1.358 -4.412 3.809 Ge
-0.910 -8.103 2.499 Ge
-2.522 -0.789 7.154 Ho
-0.431 -5.475 1.167 Ho
-0.850 -0.475 2.409 Pd
-2.103 -5.790 5.911 Pd
```

Output
VASP energy ... -5.635 eV/atom
Symmetry ... C2/m

---

Ho2ErGe4Pd4 | PBE | optimized geometry

Geometry as POSCAR:
```
Ho2ErGe4Pd4
1.0
-2.086 3.546 6.982
2.086 -3.546 6.982
2.086 3.546 -6.982
Er Ge Ho Pd
1 4 2 4
Cartesian
0.000 0.000 0.000 Er
0.000 0.000 3.043 Ge
0.000 0.000 10.920 Ge
0.000 1.334 6.982 Ge
2.086 2.212 0.000 Ge
0.000 3.546 1.759 Ho
2.086 0.000 5.223 Ho
0.000 2.121 4.539 Pd
0.000 2.121 9.424 Pd
2.086 1.425 -2.443 Pd
2.086 1.425 2.443 Pd
```

Output
VASP energy ... -5.712 eV/atom
Symmetry ... Immm

---

HoEr2Ge4Pd4 | PBE | optimized geometry

Geometry as POSCAR:
```
HoEr2Ge4Pd4
1.0
-0.381 3.018 7.505
-3.808 7.046 1.197
-0.152 -7.774 -2.261
Er Ge Ho Pd
2 4 1 4
Cartesian
-0.794 -1.111 3.718 Er
-3.547 3.401 2.724 Er
-0.914 2.194 1.898 Ge
-3.276 7.869 6.805 Ge
-2.195 4.138 5.336 Ge
-2.147 -1.849 1.105 Ge
0.000 0.000 0.000 Ho
-1.521 1.850 4.395 Pd
-2.987 5.371 7.441 Pd
-2.820 0.440 2.046 Pd
-1.354 -3.082 -1.000 Pd
```

Output
VASP energy ... -5.717 eV/atom
Symmetry ... Immm